Entry 1:
Below is crystalline La2GaN3 at its relaxed geometry, with properties calculated at the GGA-PBE level. Values from VASP.

Geometry as Quantum ESPRESSO input:
```
&SYSTEM
  ibrav = 0, nat = 12, ntyp = 3
/
ATOMIC_SPECIES
La 138.91 La.upf
Ga 69.72 Ga.upf
N 14.01 N.upf
CELL_PARAMETERS angstrom
3.331 0.000 0.000
0.000 6.081 0.000
-1.665 0.000 9.035
ATOMIC_POSITIONS crystal
La 0.165 0.750 0.331
La 0.835 0.250 0.669
La 0.972 0.750 0.943
La 0.028 0.250 0.057
Ga 0.334 0.750 0.667
Ga 0.666 0.250 0.333
N 0.410 0.502 0.820
N 0.590 0.498 0.180
N 0.410 0.998 0.820
N 0.590 0.002 0.180
N 0.775 0.750 0.549
N 0.225 0.250 0.451
```

- V: 183.0 Å³ per cell
- Crystal system: orthorhombic
- E above lowest polymorph: 181 meV/atom
- Space-group type: Cmcm (63)
- Fermi-level density of states: 0.023 states/eV per atom



Entry 2:
Below is crystalline Ge2As2Pb at its relaxed geometry, with properties calculated at the GGA-PBE level. Values from VASP.

Geometry as Quantum ESPRESSO input:
```
&SYSTEM
  ibrav = 0, nat = 10, ntyp = 3
/
ATOMIC_SPECIES
Pb 207.20 Pb.upf
As 74.92 As.upf
Ge 72.64 Ge.upf
CELL_PARAMETERS angstrom
-6.354 -3.278 3.743
-2.597 -2.993 -7.031
1.849 -2.937 0.567
ATOMIC_POSITIONS crystal
Pb 0.000 0.000 0.000
Pb 0.500 0.500 0.000
As 0.357 0.857 0.000
As 0.857 0.643 0.000
As 0.643 0.143 0.000
As 0.143 0.357 0.000
Ge 0.131 0.631 0.500
Ge 0.631 0.869 0.500
Ge 0.869 0.369 0.500
Ge 0.369 0.131 0.500
```

- V: 229.0 Å³ per cell
- Crystal system: tetragonal
- Calculated formation energy: 0.22 eV/atom
- E above lowest polymorph: 2 meV/atom
- Space-group type: P4/mbm (127)
- Fermi-level density of states: 0.402 states/eV per atom



Entry 3:
Below is crystalline Pa2NbGe2Ru5 at its relaxed geometry, with properties calculated at the GGA-PBE level. Values from VASP.

Geometry as Quantum ESPRESSO input:
```
&SYSTEM
  ibrav = 0, nat = 20, ntyp = 4
/
ATOMIC_SPECIES
Pa 231.04 Pa.upf
Nb 92.91 Nb.upf
Ge 72.64 Ge.upf
Ru 101.07 Ru.upf
CELL_PARAMETERS angstrom
-0.806 -2.525 2.432
-4.799 -5.114 -6.901
8.302 -4.789 -2.224
ATOMIC_POSITIONS crystal
Pa 0.000 0.675 0.175
Pa 0.000 0.325 0.825
Pa 0.000 0.175 0.325
Pa 0.000 0.825 0.675
Nb 0.000 0.000 0.000
Nb 0.000 0.500 0.500
Ge 0.000 0.123 0.623
Ge 0.000 0.877 0.377
Ge 0.000 0.623 0.877
Ge 0.000 0.377 0.123
Ru 0.500 0.207 0.075
Ru 0.500 0.793 0.925
Ru 0.500 0.075 0.793
Ru 0.500 0.707 0.425
Ru 0.500 0.925 0.207
Ru 0.500 0.293 0.575
Ru 0.500 0.575 0.707
Ru 0.500 0.425 0.293
Ru 0.500 0.500 0.000
Ru 0.500 0.000 0.500
```

- V: 348.2 Å³ per cell
- Crystal system: tetragonal
- Calculated formation energy: -0.37 eV/atom
- Space-group type: P4/mbm (127)
- Fermi-level density of states: 0.811 states/eV per atom



Entry 4:
Below is crystalline ZrNb3Se6 at its relaxed geometry, with properties calculated at the GGA-PBE level. Values from VASP.

Geometry as Quantum ESPRESSO input:
```
&SYSTEM
  ibrav = 0, nat = 20, ntyp = 3
/
ATOMIC_SPECIES
Zr 91.22 Zr.upf
Nb 92.91 Nb.upf
Se 78.96 Se.upf
CELL_PARAMETERS angstrom
7.695 0.290 0.296
0.123 7.700 0.296
0.123 0.125 7.704
ATOMIC_POSITIONS crystal
Zr 0.000 0.000 0.000
Zr 0.500 0.500 0.500
Nb 0.375 0.911 0.778
Nb 0.911 0.778 0.375
Nb 0.222 0.625 0.089
Nb 0.778 0.375 0.911
Nb 0.089 0.222 0.625
Nb 0.625 0.089 0.222
Se 0.335 0.937 0.110
Se 0.063 0.890 0.665
Se 0.590 0.830 0.463
Se 0.890 0.665 0.063
Se 0.463 0.590 0.830
Se 0.170 0.537 0.410
Se 0.830 0.463 0.590
Se 0.537 0.410 0.170
Se 0.110 0.335 0.937
Se 0.410 0.170 0.537
Se 0.937 0.110 0.335
Se 0.665 0.063 0.890
```

- V: 455.6 Å³ per cell
- Crystal system: trigonal
- Space-group type: R-3 (148)
- Fermi-level density of states: 0.809 states/eV per atom
- Calculated total energy: -6.619 eV per atom



Entry 5:
Below is crystalline Rb3Cu2NiCl8 at its relaxed geometry, with properties calculated at the GGA-PBE level. Values from VASP.

Geometry as Quantum ESPRESSO input:
```
&SYSTEM
  ibrav = 0, nat = 14, ntyp = 4
/
ATOMIC_SPECIES
Rb 85.47 Rb.upf
Cu 63.55 Cu.upf
Ni 58.69 Ni.upf
Cl 35.45 Cl.upf
CELL_PARAMETERS angstrom
-0.879 -6.905 -0.244
5.088 2.996 -3.695
5.713 -0.977 7.075
ATOMIC_POSITIONS crystal
Rb 0.333 0.667 0.644
Rb 0.667 0.333 0.356
Rb 0.000 0.000 0.000
Cu 0.333 0.667 0.231
Cu 0.667 0.333 0.769
Ni 0.000 0.000 0.500
Cl 0.333 0.667 0.993
Cl 0.667 0.333 0.007
Cl 0.159 0.841 0.342
Cl 0.841 0.159 0.658
Cl 0.159 0.318 0.342
Cl 0.841 0.682 0.658
Cl 0.682 0.841 0.342
Cl 0.318 0.159 0.658
```

- V: 384.3 Å³ per cell
- Crystal system: trigonal
- Space-group type: P-3m1 (164)
- Fermi-level density of states: 0.312 states/eV per atom
- Calculated total energy: -3.402 eV per atom



Entry 6:
Below is crystalline KAcTaO4 at its relaxed geometry, with properties calculated at the GGA-PBE level. Values from VASP.

Geometry as Quantum ESPRESSO input:
```
&SYSTEM
  ibrav = 0, nat = 14, ntyp = 4
/
ATOMIC_SPECIES
K 39.10 K.upf
Ac 227.00 Ac.upf
Ta 180.95 Ta.upf
O 16.00 O.upf
CELL_PARAMETERS angstrom
-1.981 5.116 -4.312
-3.671 -1.704 -5.981
-7.005 1.711 -0.397
ATOMIC_POSITIONS crystal
K 0.500 0.000 0.500
K 0.000 0.000 0.500
Ac 0.000 0.000 0.000
Ac 0.000 0.500 0.500
Ta 0.643 0.607 0.107
Ta 0.357 0.393 0.893
O 0.751 0.703 0.794
O 0.249 0.706 0.797
O 0.751 0.294 0.203
O 0.249 0.297 0.206
O 0.314 0.712 0.212
O 0.761 0.712 0.212
O 0.239 0.288 0.788
O 0.686 0.288 0.788
```

- V: 263.8 Å³ per cell
- Crystal system: orthorhombic
- Space-group type: Imma (74)
- Fermi-level density of states: 0.139 states/eV per atom
- Calculated total energy: -7.835 eV per atom